DFT (GGA-PBE) results for a relaxed structure of KTlCuO3.

Cell and atoms, written as POSCAR:
```
KTlCuO3
1.0
3.574 0.000 0.000
-1.787 5.888 0.000
0.000 0.000 9.616
K Tl Cu O
2 2 2 6
direct
0.711 0.423 0.750
0.289 0.577 0.250
0.000 0.000 0.500
0.000 0.000 0.000
0.434 0.868 0.750
0.566 0.132 0.250
0.615 0.231 0.439
0.385 0.769 0.561
0.385 0.769 0.939
0.615 0.231 0.061
0.015 0.031 0.750
0.985 0.969 0.250
```

- DFT total energy: -4.505 eV/atom
- Energy relative to the elements, uncorrected: -0.7655 eV/atom

DFT (GGA-PBE) results for a relaxed structure of ScAl2Ga3.

Cell and atoms, written as POSCAR:
```
ScAl2Ga3
1.0
-3.777 -3.207 -2.320
-0.546 -3.519 5.752
-4.893 3.686 2.870
Sc Al Ga
2 4 6
direct
0.250 0.264 0.736
0.750 0.736 0.264
0.000 0.142 0.142
0.500 0.142 0.142
0.000 0.858 0.858
0.500 0.858 0.858
0.750 0.198 0.802
0.750 0.315 0.416
0.250 0.416 0.315
0.750 0.584 0.685
0.250 0.685 0.584
0.250 0.802 0.198
```

- ΔH_f (0 K): -57 meV per atom
- DFT total energy: -3.874 eV/atom
- Energy relative to the lowest polymorph listed for this composition: 213 meV per atom